# 1
This record from Alexandria describes a relaxed structure of Rb2Sn4PbAu3. The functional is PBE.

Values from the calculation:
Theoretical density, g cm⁻³: 8.21
Energy of formation, eV per formula unit: -2.33
Space-group type: P-4m2

a = 4.984 Å, b = 4.984 Å, c = 11.759 Å
α = 90.00°, β = 90.00°, γ = 90.00°
Atoms (fractional coordinates):
1 Rb 0.500 0.000 0.248
2 Rb 0.000 0.500 0.752
3 Sn 0.000 0.500 0.357
4 Sn 0.000 0.000 0.000
5 Sn 0.500 0.500 0.000
6 Sn 0.500 0.000 0.643
7 Au 0.500 0.000 0.880
8 Au 0.000 0.500 0.120
9 Au 0.000 0.000 0.500
10 Pb 0.500 0.500 0.500

***

# 2
This record from Alexandria describes a relaxed structure of Th6GeS5. The functional is PBE.

Values from the calculation:
Theoretical density, g cm⁻³: 9.28
Space-group type: C2/m
Formation energy without anion corrections, eV per atom: -1.677

a = 7.097 Å, b = 7.079 Å, c = 7.086 Å
α = 60.03°, β = 80.41°, γ = 70.53°
Atoms (fractional coordinates):
1 S 0.000 0.668 0.664
2 S 0.500 0.500 0.000
3 S 0.500 0.161 0.678
4 S 0.500 0.839 0.322
5 S 0.000 0.332 0.336
6 Th 0.255 0.576 0.339
7 Th 0.745 0.424 0.661
8 Th 0.745 0.085 0.339
9 Th 0.255 0.915 0.661
10 Th 0.251 0.256 0.000
11 Th 0.749 0.744 0.000
12 Ge 0.000 0.000 0.000

***

# 3
This record from Alexandria describes a relaxed structure of Ce2AlZn5. The functional is PBE.

Values from the calculation:
Theoretical density, g cm⁻³: 6.60
Energy of formation, eV per formula unit: -2.40
Space-group type: Cmcm

a = 4.436 Å, b = 8.385 Å, c = 8.898 Å
α = 90.00°, β = 90.00°, γ = 105.34°
Each line ends with the local moment (μB).
Atoms (fractional coordinates):
1 Zn 0.651 0.303 0.021  0.00
2 Zn 0.814 0.627 0.106  0.00
3 Zn 0.349 0.697 0.521  0.00
4 Zn 0.186 0.373 0.894  0.00
5 Zn 0.403 0.805 0.250  0.00
6 Zn 0.597 0.195 0.750  0.00
7 Zn 0.186 0.373 0.606  0.00
8 Zn 0.814 0.627 0.394  0.00
9 Zn 0.349 0.697 0.979  0.00
10 Zn 0.651 0.303 0.479  0.00
11 Ce 0.206 0.412 0.250  -0.25
12 Ce 0.794 0.588 0.750  -0.25
13 Ce 0.000 0.000 0.000  0.66
14 Ce 0.000 0.000 0.500  0.66
15 Al 0.442 0.883 0.750  0.00
16 Al 0.558 0.117 0.250  0.00

***

# 4
This record from Alexandria describes a relaxed structure of Ac3Rh7Au2. The functional is PBE.

Values from the calculation:
Theoretical density, g cm⁻³: 12.46
Energy of formation, eV per formula unit: -6.14
Space-group type: R-3m

a = 5.531 Å, b = 5.531 Å, c = 9.578 Å
α = 73.22°, β = 73.22°, γ = 60.00°
Atoms (fractional coordinates):
1 Rh 0.414 0.917 0.255
2 Rh 0.414 0.414 0.255
3 Rh 0.917 0.414 0.255
4 Rh 0.500 0.500 0.500
5 Rh 0.586 0.083 0.745
6 Rh 0.586 0.586 0.745
7 Rh 0.083 0.586 0.745
8 Ac 0.861 0.861 0.417
9 Ac 0.139 0.139 0.583
10 Ac 0.000 0.000 0.000
11 Au 0.333 0.333 0.000
12 Au 0.667 0.667 0.000

***

# 5
This record from Alexandria describes a relaxed structure of KGeBi. The functional is PBE.

Values from the calculation:
Relative energy among the computed polymorphs, kcal/mol of atoms: 0.123
Theoretical density, g cm⁻³: 5.60
Energy of formation, eV per formula unit: -0.25
Space-group type: I4mm

a = 3.865 Å, b = 3.865 Å, c = 6.929 Å
α = 106.19°, β = 106.19°, γ = 90.00°
Atoms (fractional coordinates):
1 K 0.994 0.994 0.987
2 Ge 0.303 0.303 0.605
3 Bi 0.704 0.704 0.407

***

# 6
This record from Alexandria describes a relaxed structure of Pr2ErRh9. The functional is PBE.

Values from the calculation:
Theoretical density, g cm⁻³: 10.55
Energy of formation, eV per formula unit: -5.94
Space-group type: R-3m

a = 5.292 Å, b = 5.292 Å, c = 9.433 Å
α = 73.71°, β = 73.71°, γ = 60.00°
Atoms (fractional coordinates):
1 Rh 0.667 0.667 0.998
2 Rh 0.918 0.420 0.242
3 Rh 0.082 0.580 0.758
4 Rh 0.333 0.333 0.002
5 Rh 0.580 0.082 0.758
6 Rh 0.420 0.420 0.242
7 Rh 0.420 0.918 0.242
8 Rh 0.580 0.580 0.758
9 Rh 0.500 0.500 0.500
10 Pr 0.862 0.862 0.415
11 Pr 0.138 0.138 0.585
12 Er 0.000 0.000 0.000

***

# 7
This record from Alexandria describes a relaxed structure of CoBiIrSe2. The functional is PBE.

Values from the calculation:
Theoretical density, g cm⁻³: 9.22
Space-group type: P4/mmm
Formation energy without anion corrections, eV per atom: 0.623

a = 4.963 Å, b = 4.520 Å, c = 4.963 Å
α = 90.00°, β = 90.00°, γ = 90.00°
Atoms (fractional coordinates):
1 Ir 0.000 0.000 0.000
2 Co 0.000 0.500 0.000
3 Se 0.000 0.000 0.500
4 Se 0.500 0.000 0.000
5 Bi 0.500 0.500 0.500

***

# 8
This record from Alexandria describes a relaxed structure of NdY2Er. The functional is PBE.

Values from the calculation:
Relative energy among the computed polymorphs, kcal/mol of atoms: 2.381
Theoretical density, g cm⁻³: 6.16
Energy of formation, eV per formula unit: 0.46
Space-group type: P4/mmm

a = 4.174 Å, b = 4.174 Å, c = 7.564 Å
α = 90.00°, β = 90.00°, γ = 90.00°
Atoms (fractional coordinates):
1 Y 0.000 0.000 0.757
2 Y 0.000 0.000 0.243
3 Er 0.500 0.500 0.000
4 Nd 0.500 0.500 0.500